The following is a DFT calculation (PBE) of a relaxed BaCeSn2S6 crystal.

abc: 4.0728 12.0535 20.2084
angles: 90.00 90.00 90.00
Last column: nearest neighbours and their distance in Å.
Fractional positions:
Sn: 0.0000 0.4924 0.9113  6 S 2.56-2.70
Sn: 0.0000 0.9924 0.0887  6 S 2.56-2.70
Sn: 0.0000 0.0533 0.4244  5 S 2.46-2.62
Sn: 0.5000 0.0945 0.2493  5 S 2.74-3.00
Sn: 0.0000 0.5533 0.5756  5 S 2.46-2.62
Sn: 0.5000 0.5945 0.7507  5 S 2.74-3.00
Sn: 0.0000 0.0014 0.7498  5 S 2.48-2.58
Sn: 0.0000 0.5014 0.2502  5 S 2.48-2.58
S: 0.0000 0.0382 0.6243  1 Sn 2.57
S: 0.0000 0.7884 0.0435  1 Sn 2.62, 2 Ce 2.87
S: 0.0000 0.2383 0.3644  1 Sn 2.54
S: 0.0000 0.1679 0.1603  3 Sn 2.56-2.86
S: 0.0000 0.4531 0.6814  1 Sn 2.46
S: 0.0000 0.3558 0.5216  1 Sn 2.62, 2 Ce 2.91
S: 0.5000 0.9177 0.1642  3 Sn 2.70-2.74, 1 Ce 2.99
S: 0.0000 0.6679 0.8397  3 Sn 2.56-2.86
S: 0.0000 0.7383 0.6356  1 Sn 2.54
S: 0.0000 0.2045 0.7685  1 Sn 2.48
S: 0.0000 0.0047 0.8773  1 Sn 2.58
S: 0.0000 0.2884 0.9565  1 Sn 2.62, 2 Ce 2.87
S: 0.5000 0.4177 0.8358  3 Sn 2.70-2.74, 1 Ce 2.99
S: 0.5000 0.8813 0.7377  2 Sn 2.51
S: 0.0000 0.9531 0.3186  1 Sn 2.46
S: 0.5000 0.3813 0.2623  2 Sn 2.51
S: 0.5000 0.5979 0.5071  2 Sn 2.52
S: 0.0000 0.5382 0.3757  1 Sn 2.57
S: 0.5000 0.0581 0.0122  2 Sn 2.68
S: 0.5000 0.0979 0.4929  2 Sn 2.52
S: 0.0000 0.5047 0.1227  1 Sn 2.58
S: 0.5000 0.5581 0.9878  2 Sn 2.68
S: 0.0000 0.8558 0.4784  1 Sn 2.62, 2 Ce 2.91
S: 0.0000 0.7045 0.2315  1 Sn 2.48
Ba: 0.5000 0.7552 0.3636  9 S 3.27-3.47
Ba: 0.5000 0.3163 0.0781  8 S 3.18-3.44
Ba: 0.5000 0.2552 0.6364  9 S 3.27-3.47
Ba: 0.5000 0.8163 0.9219  8 S 3.18-3.44
Ce: 0.5000 0.3778 0.4194  8 S 2.87-3.19
Ce: 0.5000 0.1811 0.8795  8 S 2.87-3.06
Ce: 0.5000 0.6811 0.1205  8 S 2.87-3.06
Ce: 0.5000 0.8778 0.5806  8 S 2.87-3.19

Summary:
Raw formation energy   -11.65 eV per formula unit
Volume   24.80 Å³ per atom
Total DFT energy (no corrections)   -5.227 eV per atom